i | A plane-wave DFT calculation with PBE-GGA was carried out for a relaxed structure of Pm5Y4Tl.

Values from the calculation:
Its density of states at the Fermi level is 18.20 states/eV/f.u. The theoretical density comes out at 6.568 g/cm3.

a = 4.185 Å, b = 4.185 Å, c = 18.554 Å
α = 90.00°, β = 90.00°, γ = 90.00°
Atoms (fractional coordinates):
Pm  0.000  0.000  0.000
Pm  0.000  0.000  0.205
Pm  0.000  0.000  0.411
Pm  0.000  0.000  0.589
Pm  0.000  0.000  0.795
Y  0.500  0.500  0.103
Y  0.500  0.500  0.306
Y  0.500  0.500  0.694
Y  0.500  0.500  0.897
Tl  0.500  0.500  0.500

***

ii | A plane-wave DFT calculation with PBE-GGA was carried out for a relaxed structure of Pm5Y4Tl.

Values from the calculation:
Its density of states at the Fermi level is 14.20 states/eV/f.u. The theoretical density comes out at 6.251 g/cm3.

a = 8.129 Å, b = 8.129 Å, c = 8.129 Å
α = 97.75°, β = 97.75°, γ = 136.90°
Atoms (fractional coordinates):
Pm  0.000  0.000  0.000
Pm  0.529  0.529  0.627
Pm  0.529  0.902  0.000
Pm  0.902  0.529  0.000
Pm  0.902  0.902  0.373
Y  0.204  0.522  0.318
Y  0.204  0.886  0.682
Y  0.522  0.204  0.318
Y  0.886  0.204  0.682
Tl  0.479  0.479  0.000

***

i has the most favorable energy; the next structure is 128 meV/atom above.

***

i | A plane-wave DFT calculation with PBE-GGA was carried out for a relaxed structure of Pm5YTl2.

Values from the calculation:
Its density of states at the Fermi level is 10.61 states/eV/f.u. The theoretical density comes out at 8.006 g/cm3.

a = 3.694 Å, b = 10.982 Å, c = 12.502 Å
α = 90.00°, β = 90.00°, γ = 90.00°
Atoms (fractional coordinates):
Pm  0.000  0.000  0.000
Pm  0.000  0.279  0.362
Pm  0.000  0.279  0.638
Pm  0.000  0.721  0.362
Pm  0.000  0.721  0.638
Pm  0.500  0.221  0.138
Pm  0.500  0.221  0.862
Pm  0.500  0.500  0.500
Pm  0.500  0.779  0.138
Pm  0.500  0.779  0.862
Y  0.000  0.500  0.000
Y  0.500  0.000  0.500
Tl  0.000  0.000  0.275
Tl  0.000  0.000  0.725
Tl  0.500  0.500  0.225
Tl  0.500  0.500  0.775

***

ii | A plane-wave DFT calculation with PBE-GGA was carried out for a relaxed structure of Pm5YTl2.

Values from the calculation:
Its density of states at the Fermi level is 11.98 states/eV/f.u. The theoretical density comes out at 8.381 g/cm3.

a = 7.011 Å, b = 14.026 Å, c = 4.927 Å
α = 90.00°, β = 90.00°, γ = 90.00°
Atoms (fractional coordinates):
Pm  0.000  0.000  0.000
Pm  0.007  0.251  0.000
Pm  0.246  0.875  0.500
Pm  0.254  0.375  0.500
Pm  0.493  0.751  0.000
Pm  0.500  0.500  0.000
Pm  0.507  0.249  0.000
Pm  0.746  0.625  0.500
Pm  0.754  0.125  0.500
Pm  0.993  0.749  0.000
Y  0.000  0.500  0.000
Y  0.500  0.000  0.000
Tl  0.243  0.623  0.500
Tl  0.257  0.123  0.500
Tl  0.743  0.877  0.500
Tl  0.757  0.377  0.500

***

ii has the most favorable energy; the next structure is 85 meV/atom above.

***

i | A plane-wave DFT calculation with PBE-GGA was carried out for a relaxed structure of PmY3Tl.

Values from the calculation:
Its density of states at the Fermi level is 6.88 states/eV/f.u. The theoretical density comes out at 6.746 g/cm3.

a = 12.941 Å, b = 12.941 Å, c = 4.878 Å
α = 90.00°, β = 90.00°, γ = 158.21°
Atoms (fractional coordinates):
Pm  0.149  0.851  0.750
Pm  0.851  0.149  0.250
Y  0.048  0.952  0.250
Y  0.250  0.750  0.250
Y  0.447  0.553  0.250
Y  0.553  0.447  0.750
Y  0.750  0.250  0.750
Y  0.952  0.048  0.750
Tl  0.347  0.653  0.750
Tl  0.653  0.347  0.250

***

ii | A plane-wave DFT calculation with PBE-GGA was carried out for a relaxed structure of PmY3Tl.

Values from the calculation:
Its density of states at the Fermi level is 6.69 states/eV/f.u. The theoretical density comes out at 6.080 g/cm3.

a = 7.869 Å, b = 7.869 Å, c = 9.307 Å
α = 126.23°, β = 126.23°, γ = 50.47°
Atoms (fractional coordinates):
Pm  0.022  0.022  0.271
Pm  0.978  0.978  0.729
Y  0.000  0.500  0.186
Y  0.000  0.500  0.814
Y  0.325  0.325  0.575
Y  0.500  0.000  0.186
Y  0.500  0.000  0.814
Y  0.675  0.675  0.425
Tl  0.500  0.500  0.000
Tl  0.500  0.500  0.500

***

i has the most favorable energy; the next structure is 179 meV/atom above.

***

i | A plane-wave DFT calculation with PBE-GGA was carried out for a relaxed structure of Pm2Y3Tl3.

Values from the calculation:
Its density of states at the Fermi level is 8.17 states/eV/f.u. The theoretical density comes out at 8.383 g/cm3.

a = 4.472 Å, b = 4.968 Å, c = 20.860 Å
α = 90.00°, β = 90.00°, γ = 90.00°
Atoms (fractional coordinates):
Pm  0.000  0.000  0.238
Pm  0.000  0.000  0.762
Pm  0.500  0.500  0.262
Pm  0.500  0.500  0.738
Y  0.000  0.000  0.000
Y  0.000  0.500  0.117
Y  0.000  0.500  0.883
Y  0.500  0.000  0.383
Y  0.500  0.000  0.617
Y  0.500  0.500  0.500
Tl  0.000  0.000  0.500
Tl  0.000  0.500  0.376
Tl  0.000  0.500  0.624
Tl  0.500  0.000  0.124
Tl  0.500  0.000  0.876
Tl  0.500  0.500  0.000

***

ii | A plane-wave DFT calculation with PBE-GGA was carried out for a relaxed structure of Pm2Y3Tl3.

Values from the calculation:
Its density of states at the Fermi level is 11.59 states/eV/f.u. The theoretical density comes out at 7.932 g/cm3.

a = 9.137 Å, b = 9.137 Å, c = 6.776 Å
α = 90.00°, β = 90.00°, γ = 120.00°
Atoms (fractional coordinates):
Pm  0.333  0.667  0.000
Pm  0.333  0.667  0.500
Pm  0.667  0.333  0.000
Pm  0.667  0.333  0.500
Y  0.000  0.235  0.250
Y  0.000  0.765  0.750
Y  0.235  0.000  0.250
Y  0.235  0.235  0.750
Y  0.765  0.000  0.750
Y  0.765  0.765  0.250
Tl  0.000  0.398  0.750
Tl  0.000  0.602  0.250
Tl  0.398  0.000  0.750
Tl  0.398  0.398  0.250
Tl  0.602  0.000  0.250
Tl  0.602  0.602  0.750

***

ii has the most favorable energy; the next structure is 38 meV/atom above.

***

i | A plane-wave DFT calculation with PBE-GGA was carried out for a relaxed structure of Pm3Y3Tl2.

Values from the calculation:
Its density of states at the Fermi level is 10.24 states/eV/f.u. The theoretical density comes out at 7.234 g/cm3.

a = 6.600 Å, b = 6.600 Å, c = 16.116 Å
α = 90.00°, β = 90.00°, γ = 133.42°
Atoms (fractional coordinates):
Pm  0.041  0.959  0.605
Pm  0.041  0.959  0.895
Pm  0.273  0.727  0.750
Pm  0.727  0.273  0.250
Pm  0.959  0.041  0.105
Pm  0.959  0.041  0.395
Y  0.363  0.637  0.535
Y  0.363  0.637  0.965
Y  0.446  0.554  0.250
Y  0.554  0.446  0.750
Y  0.637  0.363  0.035
Y  0.637  0.363  0.465
Tl  0.230  0.770  0.132
Tl  0.230  0.770  0.368
Tl  0.770  0.230  0.632
Tl  0.770  0.230  0.868

***

ii | A plane-wave DFT calculation with PBE-GGA was carried out for a relaxed structure of Pm3Y3Tl2.

Values from the calculation:
Its density of states at the Fermi level is 11.11 states/eV/f.u. The theoretical density comes out at 7.751 g/cm3.

a = 4.903 Å, b = 4.980 Å, c = 9.745 Å
α = 90.00°, β = 90.00°, γ = 90.00°
Atoms (fractional coordinates):
Pm  0.000  0.000  0.000
Pm  0.500  0.000  0.248
Pm  0.500  0.000  0.752
Y  0.000  0.000  0.500
Y  0.500  0.500  0.000
Y  0.500  0.500  0.500
Tl  0.000  0.500  0.254
Tl  0.000  0.500  0.746

***

ii has the most favorable energy; the next structure is 72 meV/atom above.

***

i | A plane-wave DFT calculation with PBE-GGA was carried out for a relaxed structure of Pm3YTl3.

Values from the calculation:
Its density of states at the Fermi level is 5.84 states/eV/f.u. The theoretical density comes out at 8.894 g/cm3.

a = 9.617 Å, b = 9.617 Å, c = 5.301 Å
α = 90.00°, β = 90.00°, γ = 120.00°
Atoms (fractional coordinates):
Pm  0.001  0.239  0.250
Pm  0.239  0.239  0.750
Pm  0.239  0.999  0.250
Pm  0.761  0.001  0.750
Pm  0.761  0.761  0.250
Pm  0.999  0.761  0.750
Y  0.333  0.667  0.250
Y  0.667  0.333  0.750
Tl  0.071  0.452  0.750
Tl  0.381  0.929  0.750
Tl  0.452  0.381  0.250
Tl  0.548  0.619  0.750
Tl  0.619  0.071  0.250
Tl  0.929  0.548  0.250

***

ii | A plane-wave DFT calculation with PBE-GGA was carried out for a relaxed structure of Pm3YTl3.

Values from the calculation:
Its density of states at the Fermi level is 8.53 states/eV/f.u. The theoretical density comes out at 8.778 g/cm3.

a = 9.511 Å, b = 9.511 Å, c = 9.511 Å
α = 90.00°, β = 90.00°, γ = 90.00°
Atoms (fractional coordinates):
Pm  0.070  0.430  0.570
Pm  0.174  0.826  0.326
Pm  0.176  0.176  0.176
Pm  0.324  0.824  0.676
Pm  0.326  0.174  0.826
Pm  0.430  0.570  0.070
Pm  0.570  0.070  0.430
Pm  0.674  0.674  0.674
Pm  0.676  0.324  0.824
Pm  0.824  0.676  0.324
Pm  0.826  0.326  0.174
Pm  0.930  0.930  0.930
Y  0.073  0.573  0.927
Y  0.427  0.427  0.427
Y  0.573  0.927  0.073
Y  0.927  0.073  0.573
Tl  0.001  0.253  0.869
Tl  0.131  0.501  0.247
Tl  0.247  0.131  0.501
Tl  0.253  0.869  0.001
Tl  0.369  0.499  0.747
Tl  0.499  0.747  0.369
Tl  0.501  0.247  0.131
Tl  0.631  0.999  0.753
Tl  0.747  0.369  0.499
Tl  0.753  0.631  0.999
Tl  0.869  0.001  0.253
Tl  0.999  0.753  0.631

***

ii has the most favorable energy; the next structure is 61 meV/atom above.